Compound: CuNi6Pt12
Source: the Alexandria database
Functional: PBE-GGA
Structure: relaxed

a = 6.665 Å, b = 7.183 Å, c = 7.183 Å
α = 69.11°, β = 71.98°, γ = 108.02°
Positions (direct):
1 Ni 0.047 0.682 0.531
2 Ni 0.365 0.787 0.682
3 Ni 0.578 0.531 0.787
4 Ni 0.422 0.469 0.213
5 Ni 0.953 0.318 0.469
6 Ni 0.635 0.213 0.318
7 Pt 0.890 0.628 0.946
8 Pt 0.208 0.732 0.113
9 Pt 0.262 0.426 0.628
10 Pt 0.321 0.113 0.155
11 Pt 0.476 0.155 0.732
12 Pt 0.110 0.372 0.054
13 Pt 0.679 0.887 0.845
14 Pt 0.164 0.054 0.574
15 Pt 0.836 0.946 0.426
16 Pt 0.738 0.574 0.372
17 Pt 0.792 0.268 0.887
18 Pt 0.524 0.845 0.268
19 Cu 0.000 0.000 0.000

Summary:
Total moment, Bohr magnetons per cell: 6.9
Fermi-level density of states, states/eV/f.u.: 31.27
Theoretical density, Mg/m³: 17.0
Total energy, eV per atom: -5.93


Compound: Pr4CuRuCl2
Source: the Alexandria database
Functional: PBE-GGA
Structure: relaxed

a = 4.136 Å, b = 7.126 Å, c = 7.972 Å
α = 107.43°, β = 90.00°, γ = 90.00°
Positions (direct):
1 Cl 0.000 0.500 0.500
2 Cl 0.500 0.000 0.500
3 Pr 0.000 0.267 0.793
4 Pr 0.500 0.250 0.209
5 Pr 0.500 0.750 0.791
6 Pr 0.000 0.733 0.207
7 Cu 0.000 0.000 0.000
8 Ru 0.500 0.500 0.000

Summary:
Total moment, Bohr magnetons per cell: 0.0
E_form (uncorrected), eV per formula unit: -6.76
Fermi-level density of states, states/eV/f.u.: 5.15
Theoretical density, Mg/m³: 5.9


Compound: KTlZn2
Source: the Alexandria database
Functional: PBE-GGA
Structure: relaxed

a = 5.257 Å, b = 5.257 Å, c = 10.570 Å
α = 75.60°, β = 75.60°, γ = 90.00°
Positions (direct):
1 Zn 0.375 0.124 0.750
2 Zn 0.875 0.126 0.750
3 Zn 0.876 0.125 0.250
4 Zn 0.874 0.625 0.250
5 K 0.500 0.500 0.000
6 K 0.250 0.750 0.500
7 Tl 0.000 0.000 0.000
8 Tl 0.750 0.250 0.500

Summary:
Total moment, Bohr magnetons per cell: 0.0
ΔE to the lowest computed polymorph, eV/f.u.: 0.53
Fermi-level density of states, states/eV/f.u.: 2.07
Theoretical density, Mg/m³: 4.5


Compound: TaBrNF2
Source: the Alexandria database
Functional: PBE-GGA
Structure: relaxed

a = 4.171 Å, b = 4.171 Å, c = 4.067 Å
α = 90.00°, β = 90.00°, γ = 90.00°
Positions (direct):
1 F 0.000 0.500 0.000
2 F 0.500 0.000 0.000
3 N 0.000 0.000 0.500
4 Ta 0.000 0.000 0.000
5 Br 0.500 0.500 0.500

Summary:
Total moment, Bohr magnetons per cell: 0.0
ΔE to the lowest computed polymorph, eV/f.u.: 0.00
E_form (uncorrected), eV per formula unit: -5.94
Fermi-level density of states, states/eV/f.u.: 3.37
Theoretical density, Mg/m³: 7.3


Compound: TbY4Te2
Source: the Alexandria database
Functional: PBE-GGA
Structure: relaxed

a = 5.453 Å, b = 5.453 Å, c = 9.410 Å
α = 73.16°, β = 73.16°, γ = 60.00°
Positions (direct):
1 Y 0.866 0.866 0.401
2 Y 0.266 0.266 0.201
3 Y 0.134 0.134 0.599
4 Y 0.734 0.734 0.799
5 Te 0.384 0.384 0.849
6 Te 0.616 0.616 0.151
7 Tb 0.500 0.500 0.500

Summary:
Total moment, Bohr magnetons per cell: 0.0
E_form (uncorrected), eV per formula unit: -3.61
Fermi-level density of states, states/eV/f.u.: 6.44
Theoretical density, Mg/m³: 5.6


Compound: Sr3PdSe
Source: the Alexandria database
Functional: PBE-GGA
Structure: relaxed

a = 5.794 Å, b = 5.794 Å, c = 5.794 Å
α = 90.00°, β = 90.00°, γ = 90.00°
Positions (direct):
1 Sr 0.000 0.000 0.500
2 Sr 0.500 0.000 0.000
3 Sr 0.000 0.500 0.000
4 Pd 0.000 0.000 0.000
5 Se 0.500 0.500 0.500

Summary:
Total moment, Bohr magnetons per cell: 0.0
ΔE to the lowest computed polymorph, eV/f.u.: 0.00
E_form (uncorrected), eV per formula unit: -2.88
Fermi-level density of states, states/eV/f.u.: 6.10
Theoretical density, Mg/m³: 3.8


Compound: Ti2Cr3Si
Source: the Alexandria database
Functional: PBE-GGA
Structure: relaxed

a = 4.770 Å, b = 4.770 Å, c = 4.924 Å
α = 90.05°, β = 118.97°, γ = 119.94°
Positions (direct):
1 Ti 0.754 0.377 0.132
2 Ti 0.246 0.623 0.868
3 Cr 0.500 0.000 0.500
4 Cr 0.500 0.500 0.500
5 Cr 0.000 0.000 0.500
6 Si 0.000 0.000 0.000

Summary:
Total moment, Bohr magnetons per cell: 0.0
E_form (uncorrected), eV per formula unit: -1.97
Fermi-level density of states, states/eV/f.u.: 7.32
Theoretical density, Mg/m³: 5.8


Compound: SrMnOs
Source: the Alexandria database
Functional: PBE-GGA
Structure: relaxed

a = 6.129 Å, b = 6.129 Å, c = 6.129 Å
α = 152.17°, β = 144.68°, γ = 45.55°
Positions (direct):
1 Sr 0.669 0.669 0.000
2 Os 0.382 0.382 0.000
3 Mn 0.949 0.949 0.000

Summary:
Total moment, Bohr magnetons per cell: 2.3
ΔE to the lowest computed polymorph, eV/f.u.: 0.23
Fermi-level density of states, states/eV/f.u.: 3.24
Theoretical density, Mg/m³: 8.9